Computed, not measured: a geometry-optimized MnBi2WO6 structure at the PBE with a Hubbard U level of DFT.

Values from the calculation:
- total energy (eV/atom) = -6.754
- magnetization (μB per atom) = 0.7000

Unit cell a=5.7285 b=5.9869 c=9.8655 alpha=90.00 beta=124.81 gamma=90.00
With the nearest neighbours (Å) after each atom.
Space group P2_1/c (No. 14)
Symmetry-distinct sites (fractional):
1 Mn 0.0000 0.0000 0.0000  6 O 2.20-2.30
2 Bi 0.2315 0.0610 0.7238  5 O 2.32-2.44
3 W 0.5000 0.0000 0.5000  6 O 2.07-2.16
4 O 0.1492 0.0509 0.2610  1 W 2.07, 1 Mn 2.22
5 O 0.1993 0.6742 0.0271  1 W 2.16, 1 Mn 2.20, 2 Bi 2.32-2.39
6 O 0.3782 0.2293 0.0777  1 W 2.08, 1 Mn 2.30